Below is crystalline BeAgSCl2 at its relaxed geometry, with properties calculated at the PBE level.

a b c (Å): 4.6928 4.6928 4.2988
angles (deg): 90.00 90.00 90.00
Space group P4/mmm (No. 123)
One atom of each set of equivalent atoms:
Be 0.0000 0.0000 0.0000 [1 per cell]
Ag 0.5000 0.5000 0.5000 [1 per cell]
S 0.0000 0.0000 0.5000 [1 per cell]
Cl 0.0000 0.5000 0.0000 [2 per cell]

Values from the calculation:
excess energy over the best structure of this formula in the dataset: 0 meV per atom
formation energy (no corrections): -157.7 meV per atom
M_tot: 0.89 μB per cell

=====

Below is crystalline BeAgTeCl2 at its relaxed geometry, with properties calculated at the PBE level.

a b c (Å): 4.2192 4.2192 6.4798
angles (deg): 90.00 90.00 90.00
Space group P4/mmm (No. 123)
One atom of each set of equivalent atoms:
Be 0.0000 0.0000 0.0000 [1 per cell]
Ag 0.5000 0.5000 0.5000 [1 per cell]
Te 0.0000 0.0000 0.5000 [1 per cell]
Cl 0.0000 0.5000 0.0000 [2 per cell]

Values from the calculation:
formation energy (no corrections): -308.9 meV per atom
M_tot: 0.00 μB per cell

=====

Below is crystalline BeTl2AgCl at its relaxed geometry, with properties calculated at the PBE level.

a b c (Å): 5.6399 5.6399 4.4982
angles (deg): 90.00 90.00 90.00
Space group P4/mmm (No. 123)
One atom of each set of equivalent atoms:
Be 0.0000 0.0000 0.0000 [1 per cell]
Tl 0.0000 0.5000 0.5000 [2 per cell]
Ag 0.0000 0.0000 0.5000 [1 per cell]
Cl 0.5000 0.5000 0.0000 [1 per cell]

Values from the calculation:
excess energy over the best structure of this formula in the dataset: 106 meV per atom
formation energy (no corrections): 126.7 meV per atom
M_tot: 0.00 μB per cell

=====

Below is crystalline BeTl2AgCl at its relaxed geometry, with properties calculated at the PBE level.

a b c (Å): 5.2058 5.2058 4.5883
angles (deg): 90.00 90.00 90.00
Space group P4/mmm (No. 123)
One atom of each set of equivalent atoms:
Be 0.0000 0.0000 0.0000 [1 per cell]
Tl 0.0000 0.5000 0.0000 [2 per cell]
Ag 0.0000 0.0000 0.5000 [1 per cell]
Cl 0.5000 0.5000 0.5000 [1 per cell]

Values from the calculation:
excess energy over the best structure of this formula in the dataset: 0 meV per atom
formation energy (no corrections): 20.4 meV per atom
M_tot: 0.00 μB per cell

=====

Below is crystalline YBeAg2Cl at its relaxed geometry, with properties calculated at the PBE level.

a b c (Å): 5.6591 5.6591 3.6973
angles (deg): 90.00 90.00 90.00
Space group P4/mmm (No. 123)
One atom of each set of equivalent atoms:
Y 0.0000 0.0000 0.0000 [1 per cell]
Be 0.5000 0.5000 0.0000 [1 per cell]
Ag 0.0000 0.5000 0.5000 [2 per cell]
Cl 0.5000 0.5000 0.5000 [1 per cell]

Values from the calculation:
formation energy (no corrections): 554.2 meV per atom
M_tot: 0.25 μB per cell

=====

Below is crystalline BeCo2Ag at its relaxed geometry, with properties calculated at the PBE level.

a b c (Å): 3.7722 3.7722 6.7192
angles (deg): 90.00 90.00 90.00
Space group I-4m2 (No. 119)
One atom of each set of equivalent atoms:
Be 0.0000 0.0000 0.0000 [2 per cell]
Co 0.0000 0.0000 0.5000 [2 per cell]
Co 0.0000 0.5000 0.7500 [2 per cell]
Ag 0.0000 0.5000 0.2500 [2 per cell]

Values from the calculation:
M_tot: 5.66 μB per cell
energy of formation: 1.11 eV per formula unit

=====

Below is crystalline BeCo2Ag at its relaxed geometry, with properties calculated at the PBE level.

a b c (Å): 3.4776 3.4776 3.9669
angles (deg): 90.00 90.00 90.00
Space group P4/mmm (No. 123)
One atom of each set of equivalent atoms:
Be 0.0000 0.0000 0.0000 [1 per cell]
Co 0.0000 0.5000 0.5000 [2 per cell]
Ag 0.5000 0.5000 0.0000 [1 per cell]

Values from the calculation:
M_tot: 3.02 μB per cell
energy of formation: 1.14 eV per formula unit

=====

Below is crystalline BeCo2Ag at its relaxed geometry, with properties calculated at the PBE level.

a b c (Å): 3.4807 3.4807 7.9630
angles (deg): 90.00 90.00 90.00
Space group I4/mmm (No. 139)
One atom of each set of equivalent atoms:
Be 0.0000 0.0000 0.0000 [2 per cell]
Co 0.0000 0.5000 0.2500 [4 per cell]
Ag 0.0000 0.0000 0.5000 [2 per cell]

Values from the calculation:
M_tot: 6.35 μB per cell
energy of formation: 1.20 eV per formula unit

=====

Below is crystalline BeCo2Ag at its relaxed geometry, with properties calculated at the PBE level.

a b c (Å): 5.7629 5.7629 5.7629
angles (deg): 90.00 90.00 90.00
Space group F-43m (No. 216)
One atom of each set of equivalent atoms:
Be 0.0000 0.0000 0.0000 [4 per cell]
Co 0.0000 0.0000 0.5000 [4 per cell]
Co 0.2500 0.2500 0.2500 [4 per cell]
Ag 0.2500 0.2500 0.7500 [4 per cell]

Values from the calculation:
M_tot: 10.85 μB per cell
energy of formation: 1.14 eV per formula unit

=====

Below is crystalline BeCoAg at its relaxed geometry, with properties calculated at the PBE level.

a b c (Å): 5.3798 5.3798 5.3798
angles (deg): 90.00 90.00 90.00
Space group F-43m (No. 216)
One atom of each set of equivalent atoms:
Be 0.0000 0.0000 0.0000 [4 per cell]
Co 0.2500 0.2500 0.2500 [4 per cell]
Ag 0.2500 0.2500 0.7500 [4 per cell]

Values from the calculation:
excess energy over the best structure of this formula in the dataset: 278 meV per atom
M_tot: 1.59 μB per cell
energy of formation: 1.28 eV per formula unit

=====

Below is crystalline BeCo2Ag at its relaxed geometry, with properties calculated at the PBE level.

a b c (Å): 4.8525 8.7720 2.5844
angles (deg): 90.00 116.84 90.00
Space group C2/m (No. 12)
One atom of each set of equivalent atoms:
Be 0.0000 0.0000 0.0000 [2 per cell]
Co 0.2500 0.2500 0.5000 [4 per cell]
Ag 0.0000 0.5000 0.0000 [2 per cell]

Values from the calculation:
M_tot: 6.20 μB per cell
energy of formation: 1.40 eV per formula unit

=====

Below is crystalline BeCo2Ag at its relaxed geometry, with properties calculated at the PBE level.

a b c (Å): 2.6968 2.7069 6.4504
angles (deg): 90.00 90.00 90.00
Space group Pmm2 (No. 25)
One atom of each set of equivalent atoms:
Be 0.0000 0.0000 0.0000 [1 per cell]
Co 0.0000 0.0000 0.4132 [1 per cell]
Co 0.5000 0.5000 0.1879 [1 per cell]
Ag 0.5000 0.5000 0.7319 [1 per cell]

Values from the calculation:
M_tot: 2.72 μB per cell
energy of formation: 0.36 eV per formula unit

=====

Below is crystalline BeCo4Ag at its relaxed geometry, with properties calculated at the PBE level.

a b c (Å): 6.6741 6.6741 6.6741
angles (deg): 90.00 90.00 90.00
Space group F-43m (No. 216)
One atom of each set of equivalent atoms:
Be 0.0000 0.0000 0.0000 [4 per cell]
Co 0.1255 0.1255 0.6255 [16 per cell]
Ag 0.2500 0.2500 0.2500 [4 per cell]

Values from the calculation:
M_tot: 26.54 μB per cell
energy of formation: 2.09 eV per formula unit

=====

Below is crystalline BeCo2Ag at its relaxed geometry, with properties calculated at the PBE level.

a b c (Å): 2.6525 4.1149 8.5869
angles (deg): 90.00 90.00 90.00
Space group Immm (No. 71)
One atom of each set of equivalent atoms:
Be 0.0000 0.0000 0.0000 [2 per cell]
Co 0.0000 0.5000 0.2804 [4 per cell]
Ag 0.0000 0.0000 0.5000 [2 per cell]

Values from the calculation:
M_tot: 5.70 μB per cell
energy of formation: 0.76 eV per formula unit

=====

Below is crystalline BeCo2Ag at its relaxed geometry, with properties calculated at the PBE level.

a b c (Å): 3.4173 3.4173 17.7271
angles (deg): 90.00 90.00 90.00
Space group I-42d (No. 122)
One atom of each set of equivalent atoms:
Be 0.0000 0.0000 0.0000 [4 per cell]
Co 0.2113 0.2500 0.1250 [8 per cell]
Ag 0.0000 0.0000 0.5000 [4 per cell]

Values from the calculation:
M_tot: 13.03 μB per cell
energy of formation: 2.09 eV per formula unit

=====

Below is crystalline BeCoAg at its relaxed geometry, with properties calculated at the PBE level.

a b c (Å): 2.7214 2.7214 9.7061
angles (deg): 90.00 90.00 90.00
Space group I4mm (No. 107)
One atom of each set of equivalent atoms:
Be 0.0000 0.0000 0.0000 [2 per cell]
Co 0.0000 0.0000 0.3834 [2 per cell]
Ag 0.0000 0.0000 0.6780 [2 per cell]

Values from the calculation:
excess energy over the best structure of this formula in the dataset: 0 meV per atom
M_tot: 1.84 μB per cell
energy of formation: 0.45 eV per formula unit

=====

Below is crystalline Be2Co2Ag at its relaxed geometry, with properties calculated at the PBE level.

a b c (Å): 6.1904 6.1904 2.7563
angles (deg): 90.00 90.00 90.00
Space group P4/mbm (No. 127)
One atom of each set of equivalent atoms:
Be 0.1269 0.3731 0.0000 [4 per cell]
Co 0.1575 0.6575 0.5000 [4 per cell]
Ag 0.0000 0.0000 0.0000 [2 per cell]

Values from the calculation:
excess energy over the best structure of this formula in the dataset: 0 meV per atom
M_tot: 0.00 μB per cell
energy of formation: 0.16 eV per formula unit

=====

Below is crystalline BeCo2Ag at its relaxed geometry, with properties calculated at the PBE level.

a b c (Å): 2.6858 2.6695 6.5031
angles (deg): 90.00 90.09 90.00
Space group P2/m (No. 10)
One atom of each set of equivalent atoms:
Be 0.0000 0.0000 0.0000 [1 per cell]
Co 0.5000 0.5000 0.1895 [2 per cell]
Ag 0.0000 0.0000 0.5000 [1 per cell]

Values from the calculation:
M_tot: 2.37 μB per cell
energy of formation: 0.58 eV per formula unit

=====

Below is crystalline BeCo2Ag at its relaxed geometry, with properties calculated at the PBE level.

a b c (Å): 2.8570 4.1912 7.9271
angles (deg): 90.00 90.00 90.00
Space group Imm2 (No. 44)
One atom of each set of equivalent atoms:
Be 0.0000 0.0000 0.0000 [2 per cell]
Co 0.0000 0.0000 0.5241 [2 per cell]
Co 0.0000 0.5000 0.2812 [2 per cell]
Ag 0.0000 0.5000 0.7427 [2 per cell]

Values from the calculation:
M_tot: 5.48 μB per cell
energy of formation: 1.13 eV per formula unit

=====

Below is crystalline BeCo2Ag at its relaxed geometry, with properties calculated at the PBE level.

a b c (Å): 8.0688 2.6387 4.6626
angles (deg): 90.00 101.10 90.00
Space group Cm (No. 8)
One atom of each set of equivalent atoms:
Be 0.0000 0.0000 0.0000 [2 per cell]
Co 0.0189 0.5000 0.6031 [2 per cell]
Co 0.2651 0.0000 0.7744 [2 per cell]
Ag 0.2530 0.5000 0.2647 [2 per cell]

Values from the calculation:
M_tot: 5.45 μB per cell
energy of formation: 0.96 eV per formula unit